(1)
# RhSeIN2 (PBE, relaxed)
# V, Å³/f.u.: 89.3
# Space group: P4/mmm, No. 123
# Energy, eV per atom: -4.621
# Polymorph energy (0 for the lowest one), meV per atom: 0
# Formation energy from raw total energies, kJ/mol of atoms: 114.4
# Magnetic moment, μB per formula unit: 0.5
data_RhSeIN2
_symmetry_space_group_name_H-M 'P 1'
_symmetry_Int_Tables_number 1
_cell_length_a 3.926
_cell_length_b 3.926
_cell_length_c 5.792
_cell_angle_alpha 90.00
_cell_angle_beta 90.00
_cell_angle_gamma 90.00
loop_
_symmetry_equiv_pos_as_xyz
'x,y,z'
loop_
_atom_site_label
_atom_site_type_symbol
_atom_site_fract_x
_atom_site_fract_y
_atom_site_fract_z
I1 I 0.500 0.500 0.500
Rh1 Rh 0.000 0.000 0.000
Se1 Se 0.000 0.000 0.500
N1 N 0.000 0.500 0.000
N2 N 0.500 0.000 0.000



(2)
# RhSeI2N (PBE, relaxed)
# V, Å³/f.u.: 117.7
# Space group: P4/mmm, No. 123
# Energy, eV per atom: -3.819
# Polymorph energy (0 for the lowest one), meV per atom: 0
# Formation energy from raw total energies, kJ/mol of atoms: 61.1
# Magnetic moment, μB per formula unit: 0.0
data_RhSeI2N
_symmetry_space_group_name_H-M 'P 1'
_symmetry_Int_Tables_number 1
_cell_length_a 5.648
_cell_length_b 5.648
_cell_length_c 3.691
_cell_angle_alpha 90.00
_cell_angle_beta 90.00
_cell_angle_gamma 90.00
loop_
_symmetry_equiv_pos_as_xyz
'x,y,z'
loop_
_atom_site_label
_atom_site_type_symbol
_atom_site_fract_x
_atom_site_fract_y
_atom_site_fract_z
I1 I 0.000 0.500 0.000
I2 I 0.500 0.000 0.000
Rh1 Rh 0.000 0.000 0.000
Se1 Se 0.500 0.500 0.500
N1 N 0.000 0.000 0.500



(3)
# RhSeIN2 (PBE, relaxed)
# V, Å³/f.u.: 92.7
# Space group: P4/mmm, No. 123
# Energy, eV per atom: -3.820
# Polymorph energy (0 for the lowest one), meV per atom: 801
# Formation energy from raw total energies, kJ/mol of atoms: 191.8
# Magnetic moment, μB per formula unit: 1.1
data_RhSeIN2
_symmetry_space_group_name_H-M 'P 1'
_symmetry_Int_Tables_number 1
_cell_length_a 3.873
_cell_length_b 3.873
_cell_length_c 6.178
_cell_angle_alpha 90.00
_cell_angle_beta 90.00
_cell_angle_gamma 90.00
loop_
_symmetry_equiv_pos_as_xyz
'x,y,z'
loop_
_atom_site_label
_atom_site_type_symbol
_atom_site_fract_x
_atom_site_fract_y
_atom_site_fract_z
I1 I 0.000 0.000 0.000
Rh1 Rh 0.500 0.500 0.500
Se1 Se 0.000 0.000 0.500
N1 N 0.000 0.500 0.000
N2 N 0.500 0.000 0.000



(4)
# SiRhI2N (PBE, relaxed)
# V, Å³/f.u.: 101.7
# Space group: P4/mmm, No. 123
# Energy, eV per atom: -4.222
# Polymorph energy (0 for the lowest one), meV per atom: 0
# Formation energy from raw total energies, kJ/mol of atoms: 59.7
# Magnetic moment, μB per formula unit: 0.0
data_SiRhI2N
_symmetry_space_group_name_H-M 'P 1'
_symmetry_Int_Tables_number 1
_cell_length_a 5.561
_cell_length_b 5.561
_cell_length_c 3.288
_cell_angle_alpha 90.00
_cell_angle_beta 90.00
_cell_angle_gamma 90.00
loop_
_symmetry_equiv_pos_as_xyz
'x,y,z'
loop_
_atom_site_label
_atom_site_type_symbol
_atom_site_fract_x
_atom_site_fract_y
_atom_site_fract_z
I1 I 0.000 0.500 0.000
I2 I 0.500 0.000 0.000
Si1 Si 0.000 0.000 0.000
Rh1 Rh 0.500 0.500 0.500
N1 N 0.000 0.000 0.500



(5)
# SiRhIN2 (PBE, relaxed)
# V, Å³/f.u.: 114.9
# Space group: P4/mmm, No. 123
# Energy, eV per atom: -4.821
# Polymorph energy (0 for the lowest one), meV per atom: 504
# Formation energy from raw total energies, kJ/mol of atoms: 132.6
# Magnetic moment, μB per formula unit: 0.3
data_SiRhIN2
_symmetry_space_group_name_H-M 'P 1'
_symmetry_Int_Tables_number 1
_cell_length_a 3.831
_cell_length_b 3.831
_cell_length_c 7.830
_cell_angle_alpha 90.00
_cell_angle_beta 90.00
_cell_angle_gamma 90.00
loop_
_symmetry_equiv_pos_as_xyz
'x,y,z'
loop_
_atom_site_label
_atom_site_type_symbol
_atom_site_fract_x
_atom_site_fract_y
_atom_site_fract_z
I1 I 0.000 0.000 0.500
Si1 Si 0.500 0.500 0.500
Rh1 Rh 0.000 0.000 0.000
N1 N 0.000 0.500 0.000
N2 N 0.500 0.000 0.000



(6)
# SiRhIN2 (PBE, relaxed)
# V, Å³/f.u.: 101.7
# Space group: P4/mmm, No. 123
# Energy, eV per atom: -5.325
# Polymorph energy (0 for the lowest one), meV per atom: 0
# Formation energy from raw total energies, kJ/mol of atoms: 84.0
# Magnetic moment, μB per formula unit: 0.0
data_SiRhIN2
_symmetry_space_group_name_H-M 'P 1'
_symmetry_Int_Tables_number 1
_cell_length_a 3.552
_cell_length_b 3.552
_cell_length_c 8.063
_cell_angle_alpha 90.00
_cell_angle_beta 90.00
_cell_angle_gamma 90.00
loop_
_symmetry_equiv_pos_as_xyz
'x,y,z'
loop_
_atom_site_label
_atom_site_type_symbol
_atom_site_fract_x
_atom_site_fract_y
_atom_site_fract_z
I1 I 0.000 0.000 0.500
Si1 Si 0.000 0.000 0.000
Rh1 Rh 0.500 0.500 0.500
N1 N 0.000 0.500 0.000
N2 N 0.500 0.000 0.000



(7)
# SiRhI2N (PBE, relaxed)
# V, Å³/f.u.: 116.5
# Space group: P4/mmm, No. 123
# Energy, eV per atom: -4.149
# Polymorph energy (0 for the lowest one), meV per atom: 73
# Formation energy from raw total energies, kJ/mol of atoms: 66.7
# Magnetic moment, μB per formula unit: 0.0
data_SiRhI2N
_symmetry_space_group_name_H-M 'P 1'
_symmetry_Int_Tables_number 1
_cell_length_a 5.601
_cell_length_b 5.601
_cell_length_c 3.714
_cell_angle_alpha 90.00
_cell_angle_beta 90.00
_cell_angle_gamma 90.00
loop_
_symmetry_equiv_pos_as_xyz
'x,y,z'
loop_
_atom_site_label
_atom_site_type_symbol
_atom_site_fract_x
_atom_site_fract_y
_atom_site_fract_z
I1 I 0.000 0.500 0.000
I2 I 0.500 0.000 0.000
Si1 Si 0.500 0.500 0.500
Rh1 Rh 0.000 0.000 0.000
N1 N 0.000 0.000 0.500



(8)
# SrRhIN2 (PBE, relaxed)
# V, Å³/f.u.: 154.9
# Space group: P4/mmm, No. 123
# Energy, eV per atom: -3.755
# Polymorph energy (0 for the lowest one), meV per atom: 1088
# Formation energy from raw total energies, kJ/mol of atoms: 163.3
# Magnetic moment, μB per formula unit: 6.0
data_SrRhIN2
_symmetry_space_group_name_H-M 'P 1'
_symmetry_Int_Tables_number 1
_cell_length_a 4.808
_cell_length_b 4.808
_cell_length_c 6.703
_cell_angle_alpha 90.00
_cell_angle_beta 90.00
_cell_angle_gamma 90.00
loop_
_symmetry_equiv_pos_as_xyz
'x,y,z'
loop_
_atom_site_label
_atom_site_type_symbol
_atom_site_fract_x
_atom_site_fract_y
_atom_site_fract_z
I1 I 0.000 0.000 0.500
Sr1 Sr 0.000 0.000 0.000
Rh1 Rh 0.500 0.500 0.500
N1 N 0.000 0.500 0.000
N2 N 0.500 0.000 0.000